DFT (PBE) results for Li2MgPt after structural relaxation.

Energy ... -0.12307 Ha/atom
Formation energy ... -0.48 eV/atom
Density of states at the Fermi level ... 0.359 states/eV per atom
Spin magnetization ... 0.000 μB/f.u.

Structure (extended XYZ):
```
8
Lattice="3.938 0.000 0.000 0.000 3.938 0.000 0.000 0.000 7.903" Properties=species:S:1:pos:R:3 pbc="T T T"
Li 0.000 1.969 1.976
Li 0.000 1.969 5.927
Li 1.969 0.000 1.976
Li 1.969 0.000 5.927
Mg 0.000 0.000 0.000
Mg 1.969 1.969 3.951
Pt 0.000 0.000 3.951
Pt 1.969 1.969 0.000
```